# 1
Material: SmSi2TcNi
Method: DFT, PBE-GGA
State: relaxed

Calculated values
- Formation energy from raw total energies: -355 kJ/mol of formula units

Lattice parameters (Å, degrees): 4.070 4.070 10.039 90.00 90.00 90.00
Space group I-4m2 (No. 119)
Symmetry-distinct sites (fractional):
Sm 0.000 0.000 0.000 x2
Si 0.000 0.000 0.373 x4
Tc 0.000 0.500 0.750 x2
Ni 0.000 0.500 0.250 x2


# 2
Material: SmYSiNi
Method: DFT, PBE-GGA
State: relaxed

Calculated values
- Formation energy from raw total energies: -234 kJ/mol of formula units

Lattice parameters (Å, degrees): 4.083 4.082 10.593 90.00 90.00 90.00
Space group Amm2 (No. 38)
Symmetry-distinct sites (fractional):
Sm 0.000 0.000 0.000 x2
Y 0.500 0.000 0.719 x2
Si 0.500 0.000 0.421 x2
Ni 0.000 0.000 0.291 x2


# 3
Material: SmZn2SiNi
Method: DFT, PBE-GGA
State: relaxed

Calculated values
- Formation energy from raw total energies: -229 kJ/mol of formula units

Lattice parameters (Å, degrees): 4.098 4.103 10.179 90.00 90.00 90.00
Space group Imm2 (No. 44)
Symmetry-distinct sites (fractional):
Sm 0.000 0.000 0.000 x2
Zn 0.000 0.000 0.377 x2
Zn 0.000 0.500 0.245 x2
Si 0.000 0.000 0.617 x2
Ni 0.000 0.500 0.731 x2


# 4
Material: Sm2ZnSi2Ni5
Method: DFT, PBE-GGA
State: relaxed

Calculated values
- Formation energy from raw total energies: -356 kJ/mol of formula units

Lattice parameters (Å, degrees): 10.033 10.033 3.016 90.00 90.00 90.00
Space group P4/mbm (No. 127)
Symmetry-distinct sites (fractional):
Sm 0.177 0.323 0.000 x4
Zn 0.000 0.000 0.000 x2
Si 0.124 0.624 0.000 x4
Ni 0.000 0.500 0.500 x2
Ni 0.057 0.792 0.500 x8


# 5
Material: SmZnSi2Ni
Method: DFT, PBE-GGA
State: relaxed

Calculated values
- Formation energy from raw total energies: -315 kJ/mol of formula units

Lattice parameters (Å, degrees): 4.028 4.028 10.107 90.00 90.00 90.00
Space group I-4m2 (No. 119)
Symmetry-distinct sites (fractional):
Sm 0.000 0.000 0.000 x2
Zn 0.000 0.500 0.250 x2
Si 0.000 0.000 0.381 x4
Ni 0.000 0.500 0.750 x2


# 6
Material: SiNi2Sn
Method: DFT, PBE-GGA
State: relaxed

Calculated values
- Formation energy from raw total energies: -4 kJ/mol of formula units

Lattice parameters (Å, degrees): 6.073 6.073 6.073 90.00 90.00 90.00
Space group Fm-3m (No. 225)
Symmetry-distinct sites (fractional):
Si 0.000 0.000 0.000 x4
Ni 0.250 0.250 0.250 x8
Sn 0.000 0.000 0.500 x4


# 7
Material: Si3Ni10Sn
Method: DFT, PBE-GGA
State: relaxed

Calculated values
- Formation energy from raw total energies: -362 kJ/mol of formula units

Lattice parameters (Å, degrees): 11.246 11.246 11.246 90.00 90.00 90.00
Space group Fm-3m (No. 225)
Symmetry-distinct sites (fractional):
Si 0.000 0.000 0.232 x24
Ni 0.000 0.174 0.326 x48
Ni 0.120 0.120 0.120 x32
Sn 0.250 0.250 0.250 x8


# 8
Material: SiNi2Sn
Method: DFT, PBE-GGA
State: relaxed

Calculated values
- Formation energy from raw total energies: 18 kJ/mol of formula units

Lattice parameters (Å, degrees): 4.080 4.080 15.669 90.00 90.00 90.00
Space group I-42d (No. 122)
Symmetry-distinct sites (fractional):
Si 0.000 0.000 0.000 x4
Ni 0.185 0.250 0.125 x8
Sn 0.000 0.000 0.500 x4


# 9
Material: Si2Ni7Sn
Method: DFT, PBE-GGA
State: relaxed

Calculated values
- Formation energy from raw total energies: -321 kJ/mol of formula units

Lattice parameters (Å, degrees): 3.738 3.738 18.164 90.00 90.00 90.00
Space group I4/mmm (No. 139)
Symmetry-distinct sites (fractional):
Si 0.000 0.000 0.175 x4
Ni 0.000 0.000 0.000 x2
Ni 0.000 0.500 0.103 x8
Ni 0.000 0.500 0.250 x4
Sn 0.000 0.000 0.500 x2


# 10
Material: SiNi6Sn
Method: DFT, PBE-GGA
State: relaxed

Calculated values
- Formation energy from raw total energies: -238 kJ/mol of formula units

Lattice parameters (Å, degrees): 3.635 3.635 7.197 90.00 90.00 90.00
Space group P4/mmm (No. 123)
Symmetry-distinct sites (fractional):
Si 0.000 0.000 0.000 x1
Ni 0.000 0.500 0.230 x4
Ni 0.500 0.500 0.000 x1
Ni 0.500 0.500 0.500 x1
Sn 0.000 0.000 0.500 x1


# 11
Material: Si3NiSn
Method: DFT, PBE-GGA
State: relaxed

Calculated values
- Formation energy from raw total energies: 177 kJ/mol of formula units

Lattice parameters (Å, degrees): 4.506 4.506 4.506 90.00 90.00 90.00
Space group Pm-3m (No. 221)
Symmetry-distinct sites (fractional):
Si 0.000 0.000 0.500 x3
Ni 0.000 0.000 0.000 x1
Sn 0.500 0.500 0.500 x1


# 12
Material: Si2Ni9Sn
Method: DFT, PBE-GGA
State: relaxed

Calculated values
- Formation energy from raw total energies: -408 kJ/mol of formula units

Lattice parameters (Å, degrees): 3.594 3.594 10.690 90.00 90.00 90.00
Space group P4/mmm (No. 123)
Symmetry-distinct sites (fractional):
Si 0.000 0.000 0.160 x2
Ni 0.000 0.500 0.000 x2
Ni 0.000 0.500 0.317 x4
Ni 0.500 0.500 0.159 x2
Ni 0.500 0.500 0.500 x1
Sn 0.000 0.000 0.500 x1


# 13
Material: Si6Ni21Sn2
Method: DFT, PBE-GGA
State: relaxed

Calculated values
- Formation energy from raw total energies: -852 kJ/mol of formula units

Lattice parameters (Å, degrees): 11.233 11.233 11.233 90.00 90.00 90.00
Space group Fm-3m (No. 225)
Symmetry-distinct sites (fractional):
Si 0.000 0.000 0.232 x24
Ni 0.000 0.000 0.500 x4
Ni 0.000 0.174 0.326 x48
Ni 0.119 0.119 0.119 x32
Sn 0.250 0.250 0.250 x8


# 14
Material: SiNi12Sn3
Method: DFT, PBE-GGA
State: relaxed

Calculated values
- Formation energy from raw total energies: -376 kJ/mol of formula units

Lattice parameters (Å, degrees): 3.688 3.688 14.635 90.00 90.00 90.00
Space group P4/mmm (No. 123)
Symmetry-distinct sites (fractional):
Si 0.000 0.000 0.000 x1
Ni 0.000 0.500 0.111 x4
Ni 0.000 0.500 0.371 x4
Ni 0.500 0.500 0.000 x1
Ni 0.500 0.500 0.241 x2
Ni 0.500 0.500 0.500 x1
Sn 0.000 0.000 0.242 x2
Sn 0.000 0.000 0.500 x1


# 15
Material: Tb3Si2Ni9Sn
Method: DFT, PBE-GGA
State: relaxed

Calculated values
- Formation energy from raw total energies: -408 kJ/mol of formula units

Lattice parameters (Å, degrees): 5.8560 5.8560 8.8837 90.00 90.00 120.00
Space group P-3m1 (No. 164)
Symmetry-distinct sites (fractional):
Tb 0.0000 0.0000 0.0000 x1
Tb 0.3333 0.6667 0.7104 x2
Si 0.3333 0.6667 0.1687 x2
Ni 0.0000 0.5000 0.0000 x3
Ni 0.1397 0.2793 0.2663 x6
Sn 0.0000 0.0000 0.5000 x1


# 16
Material: Tm3Si2Ni9Sn
Method: DFT, PBE-GGA
State: relaxed

Calculated values
- Formation energy from raw total energies: -460 kJ/mol of formula units

Lattice parameters (Å, degrees): 5.1757 5.1757 11.1029 90.00 90.00 120.00
Space group P-3m1 (No. 164)
Symmetry-distinct sites (fractional):
Tm 0.0000 0.0000 0.0000 x1
Tm 0.3333 0.6667 0.7722 x2
Si 0.3333 0.6667 0.1591 x2
Ni 0.0000 0.5000 0.0000 x3
Ni 0.1647 0.3294 0.3124 x6
Sn 0.0000 0.0000 0.5000 x1


# 17
Material: SrSiNi4
Method: DFT, PBE-GGA
State: relaxed

Calculated values
- Formation energy from raw total energies: 33 kJ/mol of formula units

Lattice parameters (Å, degrees): 7.022 7.022 7.022 90.00 90.00 90.00
Space group F-43m (No. 216)
Symmetry-distinct sites (fractional):
Sr 0.000 0.000 0.000 x4
Si 0.250 0.250 0.250 x4
Ni 0.123 0.123 0.623 x16


# 18
Material: Sr2SiNi
Method: DFT, PBE-GGA
State: relaxed

Calculated values
- Formation energy from raw total energies: 49 kJ/mol of formula units

Lattice parameters (Å, degrees): 5.023 5.023 7.094 90.00 90.00 90.00
Space group I-4m2 (No. 119)
Symmetry-distinct sites (fractional):
Sr 0.000 0.000 0.000 x2
Sr 0.000 0.500 0.250 x2
Si 0.000 0.000 0.500 x2
Ni 0.000 0.500 0.750 x2


# 19
Material: SrSi12Ni4
Method: DFT, PBE-GGA
State: relaxed

Calculated values
- Formation energy from raw total energies: -252 kJ/mol of formula units

Lattice parameters (Å, degrees): 8.115 8.115 8.115 90.00 90.00 90.00
Space group Im-3 (No. 204)
Symmetry-distinct sites (fractional):
Sr 0.000 0.000 0.000 x2
Si 0.000 0.163 0.354 x24
Ni 0.250 0.250 0.250 x8


# 20
Material: SrSiNi
Method: DFT, PBE-GGA
State: relaxed

Calculated values
- Formation energy from raw total energies: -47 kJ/mol of formula units

Lattice parameters (Å, degrees): 3.258 3.258 11.042 90.00 90.00 90.00
Space group I4mm (No. 107)
Symmetry-distinct sites (fractional):
Sr 0.000 0.000 0.000 x2
Si 0.000 0.000 0.287 x2
Ni 0.000 0.000 0.720 x2


Number 1: total energy -35.39 eV/f.u., spin magnetization 0.0 μB per formula unit. Number 2: total energy -24.81 eV/f.u., spin magnetization 0.0 μB per formula unit. Number 3: total energy -20.85 eV/f.u., spin magnetization 0.0 μB per formula unit. Number 4: total energy -54.16 eV/f.u., spin magnetization 0.0 μB per formula unit. Number 5: total energy -25.88 eV/f.u., spin magnetization 0.0 μB per formula unit. Number 6: total energy -21.03 eV/f.u., spin magnetization 0.0 μB per formula unit. Number 7: total energy -81.84 eV/f.u., spin magnetization 0.0 μB per formula unit. Number 8: total energy -20.81 eV/f.u., spin magnetization 0.0 μB per formula unit. Number 9: total energy -58.65 eV/f.u., spin magnetization 0.0 μB per formula unit. Number 10: total energy -46.58 eV/f.u., spin magnetization 0.0 μB per formula unit. Number 11: total energy -24.22 eV/f.u., spin magnetization 0.0 μB per formula unit. Number 12: total energy -71.11 eV/f.u., spin magnetization 0.0 μB per formula unit. Number 13: total energy -170.78 eV/f.u., spin magnetization 0.1 μB per formula unit. Number 14: total energy -90.71 eV/f.u., spin magnetization 0.0 μB per formula unit. Number 15: total energy -85.00 eV/f.u., spin magnetization 0.0 μB per formula unit. Number 16: total energy -85.06 eV/f.u., spin magnetization 0.0 μB per formula unit. Number 17: total energy -29.89 eV/f.u., spin magnetization 0.0 μB per formula unit. Number 18: total energy -14.06 eV/f.u., spin magnetization 0.0 μB per formula unit. Number 19: total energy -92.50 eV/f.u., spin magnetization 0.0 μB per formula unit. Number 20: total energy -13.38 eV/f.u., spin magnetization 0.0 μB per formula unit.